1.
DFT (PBE) results for a relaxed Mn4CrPb crystal.

Results
Calculated density (g/cm³): 9.51
Energy of formation (kJ/mol of formula units): 238

Unit cell a=4.908 b=4.908 c=4.908 alpha=60.00 beta=60.00 gamma=60.00
Atoms (fractional coordinates):
Mn 0.874 0.375 0.375
Mn 0.375 0.375 0.874
Mn 0.375 0.874 0.375
Mn 0.375 0.375 0.375
Cr 0.000 0.000 0.000
Pb 0.750 0.750 0.750

2.
DFT (PBE) results for a relaxed MnCrPb crystal.

Results
Offset from the most stable computed form (eV per atom): 0.000
Calculated density (g/cm³): 9.36
Energy of formation (kJ/mol of formula units): 139

Unit cell a=6.057 b=6.057 c=3.146 alpha=74.95 beta=74.95 gamma=30.10
Atoms (fractional coordinates):
Cr 0.030 0.030 0.970
Mn 0.637 0.637 0.363
Pb 0.332 0.332 0.668

3.
DFT (PBE) results for a relaxed MnCr3Pb crystal.

Results
Offset from the most stable computed form (eV per atom): 0.000
Calculated density (g/cm³): 7.79
Energy of formation (kJ/mol of formula units): 463

Unit cell a=4.467 b=4.467 c=4.467 alpha=90.00 beta=90.00 gamma=90.00
Atoms (fractional coordinates):
Pb 0.500 0.500 0.500
Cr 0.000 0.500 0.000
Cr 0.000 0.000 0.500
Cr 0.500 0.000 0.000
Mn 0.000 0.000 0.000

4.
DFT (PBE) results for a relaxed Mn2CrPb4 crystal.

Results
Calculated density (g/cm³): 8.78
Energy of formation (kJ/mol of formula units): 438

Unit cell a=5.286 b=5.286 c=7.679 alpha=69.87 beta=69.87 gamma=90.00
Atoms (fractional coordinates):
Pb 0.801 0.801 0.399
Pb 0.199 0.199 0.601
Pb 0.000 0.500 0.000
Pb 0.500 0.000 0.000
Cr 0.000 0.000 0.000
Mn 0.598 0.598 0.805
Mn 0.402 0.402 0.195

5.
DFT (PBE) results for a relaxed MnCrPb4 crystal.

Results
Calculated density (g/cm³): 8.55
Energy of formation (kJ/mol of formula units): 471

Unit cell a=6.359 b=6.359 c=6.359 alpha=60.00 beta=60.00 gamma=60.00
Atoms (fractional coordinates):
Mn 0.000 0.000 0.000
Cr 0.750 0.750 0.750
Pb 0.876 0.375 0.375
Pb 0.375 0.375 0.876
Pb 0.375 0.876 0.375
Pb 0.375 0.375 0.375

6.
DFT (PBE) results for a relaxed Mn2CrSiPb crystal.

Results
Uncorrected formation energy (eV per formula unit): 4.406
Calculated density (g/cm³): 8.34

Unit cell a=4.273 b=4.330 c=4.273 alpha=90.00 beta=90.00 gamma=90.00
Atoms (fractional coordinates):
Pb 0.500 0.500 0.500
Cr 0.000 0.500 0.000
Si 0.000 0.000 0.000
Mn 0.000 0.000 0.500
Mn 0.500 0.000 0.000

7.
DFT (PBE) results for a relaxed MnCrSi2Pb crystal.

Results
Uncorrected formation energy (eV per formula unit): 2.835
Calculated density (g/cm³): 6.25

Unit cell a=4.531 b=4.793 c=4.531 alpha=90.00 beta=90.00 gamma=90.00
Atoms (fractional coordinates):
Pb 0.500 0.500 0.500
Cr 0.000 0.000 0.000
Si 0.000 0.000 0.500
Si 0.500 0.000 0.000
Mn 0.000 0.500 0.000

8.
DFT (PBE) results for a relaxed MnCrPbW2 crystal.

Results
Calculated density (g/cm³): 11.36
Energy of formation (kJ/mol of formula units): 966

Unit cell a=4.508 b=4.902 c=4.508 alpha=90.00 beta=90.00 gamma=90.00
Atoms (fractional coordinates):
Pb 0.000 0.500 0.000
Cr 0.000 0.000 0.000
Mn 0.500 0.500 0.500
W 0.000 0.000 0.500
W 0.500 0.000 0.000

9.
DFT (PBE) results for a relaxed MnZnCrPb2 crystal.

Results
Calculated density (g/cm³): 7.45
Energy of formation (kJ/mol of formula units): 387

Unit cell a=5.182 b=4.874 c=5.182 alpha=90.00 beta=90.00 gamma=90.00
Atoms (fractional coordinates):
Pb 0.000 0.000 0.500
Pb 0.500 0.000 0.000
Cr 0.000 0.000 0.000
Zn 0.000 0.500 0.000
Mn 0.500 0.500 0.500

10.
DFT (PBE) results for a relaxed MnCrPd2 crystal.

Results
Calculated density (g/cm³): 9.17
Energy of formation (kJ/mol of formula units): 90

Unit cell a=4.342 b=4.342 c=4.342 alpha=60.00 beta=60.00 gamma=60.00
Atoms (fractional coordinates):
Cr 0.000 0.000 0.000
Mn 0.500 0.500 0.500
Pd 0.250 0.250 0.250
Pd 0.750 0.750 0.750

11.
DFT (PBE) results for a relaxed Mn3CrPd6 crystal.

Results
Calculated density (g/cm³): 9.32
Energy of formation (kJ/mol of formula units): -125

Unit cell a=4.526 b=7.447 c=9.649 alpha=110.42 beta=90.00 gamma=90.00
Atoms (fractional coordinates):
Mn 0.250 0.540 0.380
Mn 0.750 0.460 0.620
Mn 0.250 0.368 0.787
Mn 0.750 0.632 0.213
Mn 0.250 0.778 0.984
Mn 0.750 0.222 0.016
Cr 0.250 0.956 0.586
Cr 0.750 0.044 0.414
Pd 0.250 0.462 0.081
Pd 0.750 0.538 0.919
Pd 0.250 0.154 0.180
Pd 0.750 0.846 0.820
Pd 0.250 0.657 0.679
Pd 0.750 0.343 0.321
Pd 0.250 0.254 0.492
Pd 0.750 0.746 0.508
Pd 0.250 0.849 0.292
Pd 0.750 0.151 0.708
Pd 0.250 0.072 0.874
Pd 0.750 0.928 0.126

12.
DFT (PBE) results for a relaxed MnCrPd crystal.

Results
Offset from the most stable computed form (eV per atom): 0.155
Calculated density (g/cm³): 8.13
Energy of formation (kJ/mol of formula units): 56

Unit cell a=4.498 b=2.830 c=6.852 alpha=90.00 beta=90.00 gamma=90.00
Atoms (fractional coordinates):
Cr 0.500 0.000 0.723
Cr 0.000 0.500 0.277
Mn 0.000 0.000 0.553
Mn 0.500 0.500 0.447
Pd 0.500 0.500 0.063
Pd 0.000 0.000 0.937

13.
DFT (PBE) results for a relaxed MnCrPd crystal.

Results
Offset from the most stable computed form (eV per atom): 0.000
Calculated density (g/cm³): 8.39
Energy of formation (kJ/mol of formula units): 11

Unit cell a=2.995 b=2.993 c=9.881 alpha=90.00 beta=107.61 gamma=90.00
Atoms (fractional coordinates):
Cr 0.835 0.000 0.179
Cr 0.835 0.500 0.679
Mn 0.200 0.000 0.544
Mn 0.200 0.500 0.044
Pd 0.519 0.000 0.864
Pd 0.519 0.500 0.364

14.
DFT (PBE) results for a relaxed MnCrPd3 crystal.

Results
Offset from the most stable computed form (eV per atom): 0.000
Calculated density (g/cm³): 7.42
Energy of formation (kJ/mol of formula units): 437

Unit cell a=4.568 b=4.568 c=4.568 alpha=90.00 beta=90.00 gamma=90.00
Atoms (fractional coordinates):
Cr 0.000 0.000 0.000
Mn 0.500 0.500 0.500
Pd 0.000 0.500 0.000
Pd 0.000 0.000 0.500
Pd 0.500 0.000 0.000

15.
DFT (PBE) results for a relaxed MnCrPd2 crystal.

Results
Calculated density (g/cm³): 9.06
Energy of formation (kJ/mol of formula units): 303

Unit cell a=6.764 b=6.764 c=5.426 alpha=51.44 beta=51.44 gamma=90.00
Atoms (fractional coordinates):
Cr 0.500 0.500 0.000
Cr 0.250 0.750 0.500
Mn 0.000 0.000 0.000
Mn 0.750 0.250 0.500
Pd 0.623 0.125 0.250
Pd 0.127 0.625 0.250
Pd 0.375 0.377 0.750
Pd 0.875 0.873 0.750

16.
DFT (PBE) results for a relaxed Mn2Cr2Pd crystal.

Results
Calculated density (g/cm³): 8.70
Energy of formation (kJ/mol of formula units): 90

Unit cell a=6.738 b=6.738 c=2.692 alpha=90.00 beta=90.00 gamma=90.00
Atoms (fractional coordinates):
Cr 0.158 0.658 0.500
Cr 0.658 0.842 0.500
Cr 0.842 0.342 0.500
Cr 0.342 0.158 0.500
Mn 0.363 0.863 0.000
Mn 0.863 0.637 0.000
Mn 0.637 0.137 0.000
Mn 0.137 0.363 0.000
Pd 0.000 0.000 0.000
Pd 0.500 0.500 0.000

17.
DFT (PBE) results for a relaxed Mn2CrPd5 crystal.

Results
Calculated density (g/cm³): 9.45
Energy of formation (kJ/mol of formula units): -84

Unit cell a=5.472 b=5.471 c=5.471 alpha=115.90 beta=115.90 gamma=97.27
Atoms (fractional coordinates):
Mn 0.278 0.778 0.500
Mn 0.778 0.278 0.500
Cr 0.778 0.778 0.000
Pd 0.278 0.278 0.500
Pd 0.278 0.778 0.000
Pd 0.778 0.278 0.000
Pd 0.778 0.778 0.500
Pd 0.278 0.278 0.000

18.
DFT (PBE) results for a relaxed Mn2CrPd8 crystal.

Results
Calculated density (g/cm³): 9.85
Energy of formation (kJ/mol of formula units): -77

Unit cell a=4.171 b=7.000 c=7.130 alpha=119.40 beta=107.01 gamma=90.00
Atoms (fractional coordinates):
Mn 0.197 0.697 0.393
Mn 0.803 0.303 0.607
Cr 0.500 0.000 0.000
Pd 0.655 0.875 0.311
Pd 0.345 0.564 0.689
Pd 0.146 0.146 0.292
Pd 0.000 0.306 0.000
Pd 0.854 0.854 0.708
Pd 0.655 0.436 0.311
Pd 0.345 0.125 0.689
Pd 0.000 0.694 0.000

19.
DFT (PBE) results for a relaxed MnCrPd3 crystal.

Results
Offset from the most stable computed form (eV per atom): 0.364
Calculated density (g/cm³): 7.32
Energy of formation (kJ/mol of formula units): 613

Unit cell a=4.589 b=4.589 c=4.589 alpha=90.00 beta=90.00 gamma=90.00
Atoms (fractional coordinates):
Cr 0.500 0.500 0.500
Mn 0.000 0.000 0.000
Pd 0.000 0.500 0.000
Pd 0.000 0.000 0.500
Pd 0.500 0.000 0.000

20.
DFT (PBE) results for a relaxed MnCrPd crystal.

Results
Offset from the most stable computed form (eV per atom): 0.089
Calculated density (g/cm³): 8.86
Energy of formation (kJ/mol of formula units): 37

Unit cell a=6.273 b=2.844 c=4.532 alpha=90.00 beta=98.27 gamma=90.00
Atoms (fractional coordinates):
Cr 0.325 0.000 0.532
Cr 0.325 0.500 0.032
Mn 0.616 0.000 0.079
Mn 0.616 0.500 0.579
Pd 0.973 0.000 0.804
Pd 0.973 0.500 0.304

21.
DFT (PBE) results for a relaxed MnCrPdPt crystal.

Results
Calculated density (g/cm³): 11.17
Energy of formation (kJ/mol of formula units): -44

Unit cell a=4.412 b=4.412 c=4.412 alpha=60.00 beta=60.00 gamma=60.00
Atoms (fractional coordinates):
Cr 0.000 0.000 0.000
Mn 0.500 0.500 0.500
Pd 0.250 0.250 0.250
Pt 0.750 0.750 0.750

22.
DFT (PBE) results for a relaxed MnCrTcPdRh crystal.

Results
Offset from the most stable computed form (eV per atom): 0.024
Calculated density (g/cm³): 10.10
Energy of formation (kJ/mol of formula units): 17

Unit cell a=2.695 b=3.726 c=13.809 alpha=90.00 beta=100.94 gamma=90.00
Atoms (fractional coordinates):
Cr 0.190 0.000 0.480
Cr 0.190 0.500 0.980
Mn 0.790 0.000 0.066
Mn 0.790 0.500 0.566
Rh 0.978 0.000 0.260
Rh 0.978 0.500 0.760
Tc 0.380 0.000 0.661
Tc 0.380 0.500 0.161
Pd 0.590 0.000 0.875
Pd 0.590 0.500 0.375

23.
DFT (PBE) results for a relaxed MnCrTcPdRh crystal.

Results
Offset from the most stable computed form (eV per atom): 0.006
Calculated density (g/cm³): 10.30
Energy of formation (kJ/mol of formula units): 8

Unit cell a=2.717 b=2.717 c=18.105 alpha=90.00 beta=90.00 gamma=90.00
Atoms (fractional coordinates):
Cr 0.000 0.000 0.640
Cr 0.500 0.500 0.140
Mn 0.000 0.000 0.217
Mn 0.500 0.500 0.717
Rh 0.000 0.000 0.419
Rh 0.500 0.500 0.919
Tc 0.000 0.000 0.817
Tc 0.500 0.500 0.317
Pd 0.000 0.000 0.035
Pd 0.500 0.500 0.535

24.
DFT (PBE) results for a relaxed MnCrTcPdRh crystal.

Results
Offset from the most stable computed form (eV per atom): 0.023
Calculated density (g/cm³): 9.91
Energy of formation (kJ/mol of formula units): 16

Unit cell a=3.811 b=4.676 c=4.673 alpha=80.14 beta=65.95 gamma=65.96
Atoms (fractional coordinates):
Cr 0.461 0.193 0.445
Mn 0.271 0.987 0.029
Rh 0.065 0.794 0.634
Tc 0.674 0.379 0.833
Pd 0.870 0.585 0.235

25.
DFT (PBE) results for a relaxed MnCrTcPdRh crystal.

Results
Offset from the most stable computed form (eV per atom): 0.094
Calculated density (g/cm³): 9.78
Energy of formation (kJ/mol of formula units): 51

Unit cell a=4.111 b=2.725 c=12.557 alpha=90.00 beta=90.00 gamma=90.00
Atoms (fractional coordinates):
Cr 0.000 0.500 0.493
Cr 0.500 0.000 0.993
Mn 0.000 0.500 0.059
Mn 0.500 0.000 0.559
Rh 0.000 0.000 0.251
Rh 0.500 0.500 0.751
Tc 0.000 0.000 0.666
Tc 0.500 0.500 0.166
Pd 0.000 0.000 0.873
Pd 0.500 0.500 0.373

26.
DFT (PBE) results for a relaxed MnCrTcPdRh crystal.

Results
Offset from the most stable computed form (eV per atom): 0.297
Calculated density (g/cm³): 9.38
Energy of formation (kJ/mol of formula units): 149

Unit cell a=4.852 b=3.597 c=8.415 alpha=90.00 beta=92.58 gamma=90.00
Atoms (fractional coordinates):
Cr 0.753 0.000 0.396
Cr 0.753 0.500 0.896
Mn 0.011 0.000 0.814
Mn 0.011 0.500 0.314
Rh 0.504 0.000 0.715
Rh 0.504 0.500 0.215
Tc 0.270 0.000 0.433
Tc 0.270 0.500 0.933
Pd 0.966 0.000 0.107
Pd 0.966 0.500 0.607

Listing total energy for the structures above in their given order: -47.5; -21.1; -37.0; -38.3; -28.7; -32.7; -30.5; -38.4; -23.5; -28.2; -139.2; -46.8; -47.7; -29.8; -52.1; -83.7; -54.8; -70.3; -28.0; -47.2; -30.5; -83.1; -83.2; -41.5; -82.4; -80.3 eV for the cell shown.